(1)
Density functional theory data (meta-GGA SCAN) for a crystal of Ca3InRu relaxed with PBEsol.

Structure (POSCAR):
```
Ca3InRu
1.0
5.333 0.000 0.000
0.000 5.333 0.000
0.000 0.000 5.333
Ca In Ru
3 1 1
Cartesian
0.000 0.000 2.666
0.000 2.666 0.000
2.666 0.000 0.000
2.666 2.666 2.666
0.000 0.000 0.000
```

Values from the calculation:
Space group ... Pm-3m, No. 221
Raw total energy ... -96.686 eV/cell
Energy of formation from the pure elements ... 0.103 eV/atom



(2)
Density functional theory data (meta-GGA SCAN) for a crystal of BaSi2Ni2 relaxed with PBEsol.

Structure (POSCAR):
```
BaSi2Ni2
1.0
3.211 -2.653 0.000
3.211 2.653 0.000
0.000 0.000 11.254
Ba Si Ni
2 4 4
Cartesian
3.211 1.569 8.441
3.211 -1.569 2.814
3.211 1.003 0.763
3.211 1.003 4.864
3.211 -1.003 6.390
3.211 -1.003 10.491
1.313 0.000 0.000
1.313 0.000 5.627
5.109 0.000 0.000
5.109 0.000 5.627
```

Values from the calculation:
Space group ... Cmcm, No. 63
Raw total energy ... -189.466 eV/cell



(3)
Density functional theory data (meta-GGA SCAN) for a crystal of YScSi2W relaxed with PBEsol.

Structure (POSCAR):
```
YScSi2W
1.0
4.795 0.000 0.000
0.000 4.795 0.000
0.000 0.000 4.597
Y Sc Si W
1 1 2 1
Cartesian
0.000 0.000 0.000
2.398 2.398 2.299
0.000 2.398 2.299
2.398 0.000 2.299
2.398 2.398 0.000
```

Values from the calculation:
Space group ... P4/mmm, No. 123
Raw total energy ... -126.824 eV/cell